Density functional theory data (PBE) for an optimized crystal structure of Ag5BiSe4.

a = 16.6703 Å, b = 4.2779 Å, c = 7.8702 Å
α = 90.00°, β = 118.06°, γ = 90.00°
Last column: nearest neighbours and their distance in Å.
Space group C2/m (No. 12)
Symmetry-distinct sites (fractional):
Ag (0.0000, 0.0000, 0.0000) (multiplicity 2)  4 Se 2.80
Ag (0.1833, 0.5000, 0.9120) (multiplicity 4)  4 Se 2.71-2.81, 2 Ag 2.92
Ag (0.1838, 0.5000, 0.4570) (multiplicity 4)  4 Se 2.71-2.80, 2 Ag 2.92
Bi (0.0000, 0.0000, 0.5000) (multiplicity 2)  6 Se 2.99-3.02
Se (0.0003, 0.5000, 0.2293) (multiplicity 4)  4 Ag 2.72-2.80, 2 Bi 3.02
Se (0.2035, 0.0000, 0.7038) (multiplicity 4)  6 Ag 2.71-2.81, 1 Bi 2.99

Output
**Magnetic moment**: 0.00 μB/f.u.
**Energy relative to the lowest polymorph listed for this composition**: 0.000 eV/atom
**Uncorrected energy**: -3.30 eV/atom
**ΔE_f (raw)**: -94.2 meV/atom